Record 1
Compound: Ac2Al3Pb
Source: Alexandria via LeMat-Bulk
Functional: PBE-GGA
Structure: relaxed

Values from the calculation:
total magnetic moment	0.0	μB/f.u.
final energy	-4.262	eV/atom
volume	173.5	Å³ per cell
density of states at the Fermi level	2.29	states/eV/cell

Cell and atoms, written as CIF:
```
data_Ac2Al3Pb
_space_group_name_H-M_alt 'P 1'
_space_group_IT_number 1
_cell_length_a 4.616
_cell_length_b 4.688
_cell_length_c 8.667
_cell_angle_alpha 105.69
_cell_angle_beta 105.44
_cell_angle_gamma 90.00
loop_
_space_group_symop_operation_xyz
'x,y,z'
loop_
_atom_site_label
_atom_site_fract_x
_atom_site_fract_y
_atom_site_fract_z
Pb1 0.457 0.957 0.913
Ac1 0.129 0.129 0.258
Ac2 0.870 0.370 0.739
Al1 0.710 0.710 0.419
Al2 0.550 0.550 0.100
Al3 0.285 0.785 0.570
```

=====

Record 2
Compound: Ac3AlPb2
Source: Alexandria via LeMat-Bulk
Functional: PBE-GGA
Structure: relaxed

Values from the calculation:
energy above the most stable polymorph in this dataset	0.0000	eV/atom
total magnetic moment	0.0	μB/f.u.
final energy	-4.360	eV/atom
volume	858.6	Å³ per cell
density of states at the Fermi level	19.24	states/eV/cell

Cell and atoms, written as CIF:
```
data_Ac3AlPb2
_space_group_name_H-M_alt 'P 1'
_space_group_IT_number 1
_cell_length_a 4.776
_cell_length_b 13.302
_cell_length_c 13.516
_cell_angle_alpha 90.00
_cell_angle_beta 90.00
_cell_angle_gamma 90.00
loop_
_space_group_symop_operation_xyz
'x,y,z'
loop_
_atom_site_label
_atom_site_fract_x
_atom_site_fract_y
_atom_site_fract_z
Ac1 0.250 0.709 0.218
Ac2 0.750 0.291 0.782
Ac3 0.250 0.791 0.718
Ac4 0.250 0.446 0.379
Ac5 0.250 0.054 0.879
Ac6 0.750 0.554 0.621
Ac7 0.250 0.381 0.058
Ac8 0.750 0.209 0.282
Ac9 0.750 0.881 0.442
Ac10 0.750 0.946 0.121
Ac11 0.250 0.119 0.558
Ac12 0.750 0.619 0.942
Pb1 0.750 0.193 0.014
Pb2 0.250 0.693 0.486
Pb3 0.250 0.807 0.986
Pb4 0.750 0.507 0.191
Pb5 0.750 0.993 0.691
Pb6 0.250 0.007 0.309
Pb7 0.750 0.307 0.514
Pb8 0.250 0.493 0.809
Al1 0.750 0.633 0.372
Al2 0.750 0.867 0.872
Al3 0.250 0.133 0.128
Al4 0.250 0.367 0.628
```

=====

Record 3
Compound: Ac3AlPb
Source: Alexandria via LeMat-Bulk
Functional: PBE-GGA
Structure: relaxed

Values from the calculation:
total magnetic moment	0.8	μB/f.u.
final energy	-4.273	eV/atom
volume	373.4	Å³ per cell
density of states at the Fermi level	8.46	states/eV/cell

Cell and atoms, written as CIF:
```
data_Ac3AlPb
_space_group_name_H-M_alt 'P 1'
_space_group_IT_number 1
_cell_length_a 4.314
_cell_length_b 9.334
_cell_length_c 9.571
_cell_angle_alpha 94.99
_cell_angle_beta 89.98
_cell_angle_gamma 103.36
loop_
_space_group_symop_operation_xyz
'x,y,z'
loop_
_atom_site_label
_atom_site_fract_x
_atom_site_fract_y
_atom_site_fract_z
Al1 0.806 0.645 0.773
Al2 0.238 0.509 0.649
Pb1 0.629 0.291 0.138
Pb2 0.415 0.863 0.284
Ac1 0.621 0.277 0.775
Ac2 0.973 0.979 0.015
Ac3 0.071 0.176 0.407
Ac4 0.422 0.877 0.647
Ac5 0.776 0.586 0.399
Ac6 0.267 0.568 0.022
```

=====

Record 4
Compound: Ac2AlPd6Pb
Source: Alexandria via LeMat-Bulk
Functional: PBE-GGA
Structure: relaxed

Values from the calculation:
total magnetic moment	0.0	μB/f.u.
final energy	-5.349	eV/atom
volume	226.7	Å³ per cell
density of states at the Fermi level	4.77	states/eV/cell

Cell and atoms, written as CIF:
```
data_Ac2AlPd6Pb
_space_group_name_H-M_alt 'P 1'
_space_group_IT_number 1
_cell_length_a 7.139
_cell_length_b 6.714
_cell_length_c 8.829
_cell_angle_alpha 52.57
_cell_angle_beta 48.30
_cell_angle_gamma 81.35
loop_
_space_group_symop_operation_xyz
'x,y,z'
loop_
_atom_site_label
_atom_site_fract_x
_atom_site_fract_y
_atom_site_fract_z
Ac1 0.745 0.255 0.526
Ac2 0.255 0.745 0.474
Pd1 0.752 0.756 0.011
Pd2 0.245 0.755 0.841
Pd3 0.757 0.752 0.481
Pd4 0.248 0.244 0.989
Pd5 0.243 0.248 0.519
Pd6 0.755 0.245 0.159
Al1 0.000 0.000 0.000
Pb1 0.500 0.500 0.000
```

=====

Record 5
Compound: AcPrAlPb
Source: Alexandria via LeMat-Bulk
Functional: PBE-GGA
Structure: relaxed

Values from the calculation:
total magnetic moment	0.0	μB/f.u.
final energy	-4.404	eV/atom
volume	126.2	Å³ per cell
density of states at the Fermi level	2.24	states/eV/cell

Cell and atoms, written as CIF:
```
data_AcPrAlPb
_space_group_name_H-M_alt 'P 1'
_space_group_IT_number 1
_cell_length_a 5.631
_cell_length_b 5.631
_cell_length_c 5.631
_cell_angle_alpha 60.00
_cell_angle_beta 60.00
_cell_angle_gamma 60.00
loop_
_space_group_symop_operation_xyz
'x,y,z'
loop_
_atom_site_label
_atom_site_fract_x
_atom_site_fract_y
_atom_site_fract_z
Pb1 0.250 0.250 0.250
Pr1 0.000 0.000 0.000
Ac1 0.500 0.500 0.500
Al1 0.750 0.750 0.750
```

=====

Record 6
Compound: AcPuAlPb
Source: Alexandria via LeMat-Bulk
Functional: PBE-GGA
Structure: relaxed

Values from the calculation:
total magnetic moment	5.9	μB/f.u.
final energy	-6.586	eV/atom
volume	121.0	Å³ per cell
density of states at the Fermi level	11.32	states/eV/cell

Cell and atoms, written as CIF:
```
data_AcPuAlPb
_space_group_name_H-M_alt 'P 1'
_space_group_IT_number 1
_cell_length_a 5.552
_cell_length_b 5.552
_cell_length_c 5.552
_cell_angle_alpha 60.00
_cell_angle_beta 60.00
_cell_angle_gamma 60.00
loop_
_space_group_symop_operation_xyz
'x,y,z'
loop_
_atom_site_label
_atom_site_fract_x
_atom_site_fract_y
_atom_site_fract_z
Al1 0.750 0.750 0.750
Pu1 0.000 0.000 0.000
Ac1 0.500 0.500 0.500
Pb1 0.250 0.250 0.250
```

=====

Record 7
Compound: AcSmAlPb
Source: Alexandria via LeMat-Bulk
Functional: PBE-GGA
Structure: relaxed

Values from the calculation:
total magnetic moment	0.0	μB/f.u.
final energy	-4.378	eV/atom
volume	123.3	Å³ per cell
density of states at the Fermi level	2.28	states/eV/cell

Cell and atoms, written as CIF:
```
data_AcSmAlPb
_space_group_name_H-M_alt 'P 1'
_space_group_IT_number 1
_cell_length_a 5.586
_cell_length_b 5.586
_cell_length_c 5.586
_cell_angle_alpha 60.00
_cell_angle_beta 60.00
_cell_angle_gamma 60.00
loop_
_space_group_symop_operation_xyz
'x,y,z'
loop_
_atom_site_label
_atom_site_fract_x
_atom_site_fract_y
_atom_site_fract_z
Sm1 0.500 0.500 0.500
Ac1 0.000 0.000 0.000
Pb1 0.250 0.250 0.250
Al1 0.750 0.750 0.750
```

=====

Record 8
Compound: Ac2AlSnPb
Source: Alexandria via LeMat-Bulk
Functional: PBE-GGA
Structure: relaxed

Values from the calculation:
total magnetic moment	0.0	μB/f.u.
final energy	-4.435	eV/atom
volume	342.8	Å³ per cell
density of states at the Fermi level	8.95	states/eV/cell

Cell and atoms, written as CIF:
```
data_Ac2AlSnPb
_space_group_name_H-M_alt 'P 1'
_space_group_IT_number 1
_cell_length_a 4.460
_cell_length_b 8.157
_cell_length_c 9.422
_cell_angle_alpha 90.01
_cell_angle_beta 90.00
_cell_angle_gamma 90.00
loop_
_space_group_symop_operation_xyz
'x,y,z'
loop_
_atom_site_label
_atom_site_fract_x
_atom_site_fract_y
_atom_site_fract_z
Ac1 0.250 0.260 0.500
Ac2 0.750 0.739 0.000
Ac3 0.750 0.740 0.500
Ac4 0.250 0.261 0.000
Sn1 0.250 0.593 0.250
Sn2 0.750 0.407 0.750
Al1 0.250 0.597 0.751
Al2 0.750 0.403 0.249
Pb1 0.250 0.942 0.750
Pb2 0.750 0.058 0.250
```

=====

Record 9
Compound: AcYAlPb
Source: Alexandria via LeMat-Bulk
Functional: PBE-GGA
Structure: relaxed

Values from the calculation:
total magnetic moment	0.0	μB/f.u.
final energy	-4.810	eV/atom
volume	120.6	Å³ per cell
density of states at the Fermi level	2.92	states/eV/cell

Cell and atoms, written as CIF:
```
data_AcYAlPb
_space_group_name_H-M_alt 'P 1'
_space_group_IT_number 1
_cell_length_a 5.545
_cell_length_b 5.545
_cell_length_c 5.545
_cell_angle_alpha 60.00
_cell_angle_beta 60.00
_cell_angle_gamma 60.00
loop_
_space_group_symop_operation_xyz
'x,y,z'
loop_
_atom_site_label
_atom_site_fract_x
_atom_site_fract_y
_atom_site_fract_z
Pb1 0.750 0.750 0.750
Al1 0.250 0.250 0.250
Ac1 0.000 0.000 0.000
Y1 0.500 0.500 0.500
```

=====

Record 10
Compound: Ac2Al3Zn4Pb
Source: Alexandria via LeMat-Bulk
Functional: PBE-GGA
Structure: relaxed

Values from the calculation:
total magnetic moment	0.0	μB/f.u.
final energy	-3.165	eV/atom
volume	227.1	Å³ per cell
density of states at the Fermi level	1.09	states/eV/cell

Cell and atoms, written as CIF:
```
data_Ac2Al3Zn4Pb
_space_group_name_H-M_alt 'P 1'
_space_group_IT_number 1
_cell_length_a 4.555
_cell_length_b 4.555
_cell_length_c 10.945
_cell_angle_alpha 90.00
_cell_angle_beta 90.00
_cell_angle_gamma 90.00
loop_
_space_group_symop_operation_xyz
'x,y,z'
loop_
_atom_site_label
_atom_site_fract_x
_atom_site_fract_y
_atom_site_fract_z
Zn1 0.500 0.000 0.650
Zn2 0.000 0.000 0.000
Zn3 0.500 0.500 0.000
Zn4 0.000 0.500 0.350
Al1 0.000 0.000 0.500
Al2 0.000 0.500 0.119
Al3 0.500 0.000 0.881
Ac1 0.000 0.500 0.766
Ac2 0.500 0.000 0.234
Pb1 0.500 0.500 0.500
```

=====

Record 11
Compound: Ac2AlPd3
Source: Alexandria via LeMat-Bulk
Functional: PBE-GGA
Structure: relaxed

Values from the calculation:
energy above the most stable polymorph in this dataset	0.0000	eV/atom
total magnetic moment	0.0	μB/f.u.
final energy	-5.381	eV/atom
volume	150.9	Å³ per cell
density of states at the Fermi level	3.73	states/eV/cell

Cell and atoms, written as CIF:
```
data_Ac2AlPd3
_space_group_name_H-M_alt 'P 1'
_space_group_IT_number 1
_cell_length_a 4.336
_cell_length_b 4.223
_cell_length_c 8.782
_cell_angle_alpha 103.91
_cell_angle_beta 104.29
_cell_angle_gamma 90.00
loop_
_space_group_symop_operation_xyz
'x,y,z'
loop_
_atom_site_label
_atom_site_fract_x
_atom_site_fract_y
_atom_site_fract_z
Pd1 0.704 0.704 0.408
Pd2 0.308 0.808 0.615
Pd3 0.538 0.538 0.075
Al1 0.460 0.960 0.919
Ac1 0.129 0.129 0.258
Ac2 0.862 0.362 0.724
```

=====

Record 12
Compound: Ac5AlPd2
Source: Alexandria via LeMat-Bulk
Functional: PBE-GGA
Structure: relaxed

Values from the calculation:
total magnetic moment	0.0	μB/f.u.
final energy	-4.788	eV/atom
volume	524.8	Å³ per cell
density of states at the Fermi level	13.33	states/eV/cell

Cell and atoms, written as CIF:
```
data_Ac5AlPd2
_space_group_name_H-M_alt 'P 1'
_space_group_IT_number 1
_cell_length_a 8.474
_cell_length_b 8.474
_cell_length_c 9.451
_cell_angle_alpha 116.64
_cell_angle_beta 116.64
_cell_angle_gamma 90.00
loop_
_space_group_symop_operation_xyz
'x,y,z'
loop_
_atom_site_label
_atom_site_fract_x
_atom_site_fract_y
_atom_site_fract_z
Ac1 0.500 0.500 0.000
Ac2 0.804 0.980 0.284
Ac3 0.696 0.196 0.716
Ac4 0.980 0.480 0.284
Ac5 0.480 0.304 0.284
Ac6 0.000 0.000 0.000
Ac7 0.020 0.520 0.716
Ac8 0.196 0.020 0.716
Ac9 0.520 0.696 0.716
Ac10 0.304 0.804 0.284
Al1 0.750 0.750 0.500
Al2 0.250 0.250 0.500
Pd1 0.369 0.870 0.000
Pd2 0.130 0.370 0.000
Pd3 0.630 0.131 0.000
Pd4 0.870 0.630 0.000
```